DFT (GGA-PBE) results for an optimized crystal structure of Ca3BiTe4.

Summary:
The calculation puts the excess energy over the best structure of this formula in the dataset at 0 meV/atom. For the final energy, the calculation gives -32.052 eV for the cell shown. The calculation puts the density of states at the Fermi level at 4.21 states/eV per cell. As for the space group: No. 139. For the uncorrected formation energy, the calculation gives -1200 meV per atom.

The structure in extended XYZ format:
```
8
Lattice="5.945 0.000 -2.638 -1.171 5.828 -2.638 -0.075 -0.092 7.847" Properties=species:S:1:pos:R:3 pbc="T T T"
Ca 2.387 2.914 -2.638
Ca 4.128 1.411 1.285
Ca 0.570 4.325 1.285
Te 3.548 4.331 -0.023
Te 1.151 1.405 2.593
Te 2.972 0.000 -1.319
Te -0.586 2.914 -1.319
Bi 0.000 0.000 0.000
```